# 1
Here is an optimized crystal structure of EuGdErIn from the Alexandria database. Energies are from GGA-PBE.

Results
E = -32.119 eV/f.u.
Energy of formation from the pure elements = -0.12 eV per atom
Spin magnetization = 0.03 μB per atom

a b c (Å): 5.5495 5.5495 5.5495
angles (deg): 60.00 60.00 60.00
Last column: nearest neighbours and their distance in Å.
Fractional coordinates of all 4 atoms:
Eu (0.0000, 0.0000, 0.0000)  4 In 3.40, 4 Er 3.40
Gd (0.5000, 0.5000, 0.5000)  4 In 3.40, 4 Er 3.40
Er (0.7500, 0.7500, 0.7500)  4 Gd 3.40, 4 Eu 3.40
In (0.2500, 0.2500, 0.2500)  4 Gd 3.40, 4 Eu 3.40

---

# 2
Here is an optimized crystal structure of NaCrBi from the Alexandria database. Energies are from GGA-PBE.

Results
E = -14.466 eV/f.u.
Energy of formation from the pure elements = 0.12 eV per atom
Spin magnetization = 1.33 μB per atom

a b c (Å): 4.5252 4.5252 7.7677
angles (deg): 90.00 90.00 90.00
Last column: nearest neighbours and their distance in Å.
Fractional coordinates of all 6 atoms:
Na (0.2500, 0.2500, 0.1564)  5 Bi 3.32, 4 Cr 3.50
Na (0.7500, 0.7500, 0.8436)  5 Bi 3.32, 4 Cr 3.50
Cr (0.2500, 0.7500, 0.5000)  4 Bi 2.88, 4 Cr 3.20
Cr (0.7500, 0.2500, 0.5000)  4 Bi 2.88, 4 Cr 3.20
Bi (0.2500, 0.2500, 0.7292)  4 Cr 2.88
Bi (0.7500, 0.7500, 0.2708)  4 Cr 2.88

---

# 3
Here is an optimized crystal structure of ZrSi2Tc5 from the Alexandria database. Energies are from GGA-PBE.

Results
E = -73.522 eV/f.u.
E_form (uncorrected) = -287.2 meV per atom
Spin magnetization = 0.00 μB per atom

a b c (Å): 6.6365 6.6365 6.6365
angles (deg): 153.44 109.59 76.72
Last column: nearest neighbours and their distance in Å.
Fractional coordinates of all 8 atoms:
Zr (0.0000, 0.0000, 0.0000)  4 Si 2.97, 8 Tc 3.04, 2 Zr 3.05
Si (0.2454, 0.7454, 0.5000)  7 Tc 2.45-2.65
Si (0.7546, 0.2546, 0.5000)  7 Tc 2.45-2.65
Tc (0.1465, 0.3606, 0.7859)  3 Si 2.45-2.54, 2 Tc 2.67
Tc (0.4253, 0.6394, 0.7859)  3 Si 2.45-2.54, 2 Tc 2.67
Tc (0.5000, 0.0000, 0.5000)  2 Si 2.65, 8 Tc 2.67
Tc (0.5747, 0.3606, 0.2141)  3 Si 2.45-2.54, 2 Tc 2.67
Tc (0.8535, 0.6394, 0.2141)  3 Si 2.45-2.54, 2 Tc 2.67

---

# 4
Here is an optimized crystal structure of KLiMnSb2 from the Alexandria database. Energies are from GGA-PBE.

Results
E = -14.314 eV/f.u.
E_form (uncorrected) = 1222.3 meV per atom
Spin magnetization = 0.95 μB per atom

a b c (Å): 5.9477 5.9477 5.4689
angles (deg): 90.00 90.00 90.00
Last column: nearest neighbours and their distance in Å.
Fractional coordinates of all 5 atoms:
K (0.0000, 0.0000, 0.0000)  2 Mn 2.73, 4 Sb 2.97
Li (0.5000, 0.5000, 0.5000)  8 Sb 4.04, 4 Mn 4.21
Mn (0.0000, 0.0000, 0.5000)  2 K 2.73
Sb (0.0000, 0.5000, 0.0000)  2 K 2.97
Sb (0.5000, 0.0000, 0.0000)  2 K 2.97